Below is a PBEsol-optimized structure of HoAgW2O8, with properties calculated at the SCAN level.

Values from the calculation:
Formation energy from raw total energies, meV/atom: -2433
Total DFT energy (no corrections), eV/atom: -24.898
Magnetic moment, μB/cell: 0.000

a b c (Å): 9.841 10.671 7.144
angles (deg): 90.00 127.27 90.00
Space group C2/m (No. 12)
Inequivalent atoms, fractional coordinates:
Ho 0.000 0.193 0.000 (multiplicity 4)
Ag 0.185 0.000 0.520 (multiplicity 4)
W 0.000 0.335 0.500 (multiplicity 4)
W 0.210 0.500 0.975 (multiplicity 4)
O 0.023 0.500 0.339 (multiplicity 4)
O 0.049 0.233 0.350 (multiplicity 8)
O 0.054 0.000 0.859 (multiplicity 4)
O 0.170 0.368 0.092 (multiplicity 8)
O 0.228 0.376 0.759 (multiplicity 8)